Entry 1:
A plane-wave DFT calculation with PBE-GGA was carried out for crystalline GdLuZnSn at its relaxed geometry.

Computed properties:
- DFT formation energy (eV/atom) = -0.47
- crystal system = cubic

Unit cell a=7.3050 b=7.3050 c=7.3050 alpha=90.00 beta=90.00 gamma=90.00
Space group F-43m (No. 216)
Inequivalent atoms, fractional coordinates:
Gd  0.0000  0.0000  0.0000 [4 per cell]
Lu  0.0000  0.0000  0.5000 [4 per cell]
Zn  0.2500  0.2500  0.2500 [4 per cell]
Sn  0.2500  0.2500  0.7500 [4 per cell]

***

Entry 2:
A plane-wave DFT calculation with PBE-GGA was carried out for crystalline Ni2SnAsPt at its relaxed geometry.

Computed properties:
- DFT formation energy (eV/atom) = 0.98
- crystal system = tetragonal

Unit cell a=4.6306 b=4.6306 c=4.9525 alpha=90.00 beta=90.00 gamma=90.00
Space group P4/mmm (No. 123)
Inequivalent atoms, fractional coordinates:
Ni  0.0000  0.5000  0.0000 [2 per cell]
Sn  0.0000  0.0000  0.0000 [1 per cell]
As  0.5000  0.5000  0.5000 [1 per cell]
Pt  0.0000  0.0000  0.5000 [1 per cell]

***

Entry 3:
A plane-wave DFT calculation with PBE-GGA was carried out for crystalline TaSiSe2 at its relaxed geometry.

Computed properties:
- formation energy (no corrections) (eV/f.u.) = -0.1
- crystal system = monoclinic

Unit cell a=3.3453 b=4.9463 c=4.9307 alpha=90.00 beta=109.76 gamma=90.00
Space group Pm (No. 6)
Inequivalent atoms, fractional coordinates:
Ta  0.0000  0.0000  0.0000 [1 per cell]
Si  0.5809  0.5000  0.1549 [1 per cell]
Se  0.2865  0.0000  0.5714 [1 per cell]
Se  0.8878  0.5000  0.7689 [1 per cell]

***

Entry 4:
A plane-wave DFT calculation with PBE-GGA was carried out for crystalline CsNaAu2 at its relaxed geometry.

Computed properties:
- DFT formation energy (eV/atom) = -0.13
- energy relative to the lowest polymorph listed for this composition (eV/atom) = 0.170
- crystal system = cubic

Unit cell a=8.0903 b=8.0903 c=8.0903 alpha=90.00 beta=90.00 gamma=90.00
Space group Fm-3m (No. 225)
Inequivalent atoms, fractional coordinates:
Cs  0.0000  0.0000  0.0000 [4 per cell]
Na  0.0000  0.0000  0.5000 [4 per cell]
Au  0.2500  0.2500  0.2500 [8 per cell]

***

Entry 5:
A plane-wave DFT calculation with PBE-GGA was carried out for crystalline PmGdHoLu at its relaxed geometry.

Computed properties:
- DFT formation energy (eV/atom) = 0.10
- crystal system = cubic

Unit cell a=8.0059 b=8.0059 c=8.0059 alpha=90.00 beta=90.00 gamma=90.00
Space group F-43m (No. 216)
Inequivalent atoms, fractional coordinates:
Pm  0.0000  0.0000  0.0000 [4 per cell]
Gd  0.0000  0.0000  0.5000 [4 per cell]
Ho  0.2500  0.2500  0.2500 [4 per cell]
Lu  0.2500  0.2500  0.7500 [4 per cell]

***

Entry 6:
A plane-wave DFT calculation with PBE-GGA was carried out for crystalline AcZrRu4 at its relaxed geometry.

Computed properties:
- DFT formation energy (eV/atom) = -0.01
- crystal system = cubic

Unit cell a=7.6274 b=7.6274 c=7.6274 alpha=90.00 beta=90.00 gamma=90.00
Space group F-43m (No. 216)
Inequivalent atoms, fractional coordinates:
Ac  0.0000  0.0000  0.0000 [4 per cell]
Zr  0.2500  0.2500  0.2500 [4 per cell]
Ru  0.1240  0.1240  0.6240 [16 per cell]

***

Entry 7:
A plane-wave DFT calculation with PBE-GGA was carried out for crystalline LaCdCu17 at its relaxed geometry.

Computed properties:
- DFT formation energy (eV/atom) = -0.01
- crystal system = trigonal

Unit cell a=8.5652 b=8.5652 c=12.4894 alpha=90.00 beta=90.00 gamma=120.00
Space group R3m (No. 160, hexagonal axes)
Inequivalent atoms, fractional coordinates:
La  0.0000  0.0000  0.0000 [3 per cell]
Cd  0.0000  0.0000  0.3134 [3 per cell]
Cu  0.0000  0.0000  0.5539 [3 per cell]
Cu  0.0000  0.0000  0.7489 [3 per cell]
Cu  0.0392  0.3686  0.3240 [18 per cell]
Cu  0.1689  0.3378  0.4924 [9 per cell]
Cu  0.1698  0.3395  0.8366 [9 per cell]
Cu  0.1722  0.3444  0.1433 [9 per cell]

***

Entry 8:
A plane-wave DFT calculation with PBE-GGA was carried out for crystalline I at its relaxed geometry.

Computed properties:
- formation energy (no corrections) (eV/f.u.) = 0.2
- energy relative to the lowest polymorph listed for this composition (eV/atom) = 0.183
- crystal system = cubic

Unit cell a=10.7748 b=10.7748 c=10.7748 alpha=90.00 beta=90.00 gamma=90.00
Space group I-43m (No. 217)
Inequivalent atoms, fractional coordinates:
I  0.1305  0.1305  0.8695 [8 per cell]
I  0.2243  0.2243  0.2243 [8 per cell]

***

Entry 9:
A plane-wave DFT calculation with PBE-GGA was carried out for crystalline TeAuI at its relaxed geometry.

Computed properties:
- formation energy (no corrections) (eV/f.u.) = 0.2
- crystal system = trigonal

Unit cell a=4.2540 b=4.2540 c=5.6435 alpha=90.00 beta=90.00 gamma=120.00
Space group P3m1 (No. 156)
Inequivalent atoms, fractional coordinates:
Te  0.0000  0.0000  0.0000 [1 per cell]
Au  0.3333  0.6667  0.7660 [1 per cell]
I  0.6667  0.3333  0.4395 [1 per cell]

***

Entry 10:
A plane-wave DFT calculation with PBE-GGA was carried out for crystalline SrNd2Au at its relaxed geometry.

Computed properties:
- DFT formation energy (eV/atom) = -0.22
- energy relative to the lowest polymorph listed for this composition (eV/atom) = 0.058
- crystal system = trigonal

Unit cell a=4.0544 b=4.0544 c=31.6954 alpha=90.00 beta=90.00 gamma=120.00
Space group R-3m (No. 166, hexagonal axes)
Inequivalent atoms, fractional coordinates:
Sr  0.0000  0.0000  0.0000 [3 per cell]
Nd  0.0000  0.0000  0.2267 [6 per cell]
Au  0.0000  0.0000  0.5000 [3 per cell]

***

Entry 11:
A plane-wave DFT calculation with PBE-GGA was carried out for crystalline Ca2LaW2 at its relaxed geometry.

Computed properties:
- DFT formation energy (eV/atom) = 0.97
- crystal system = tetragonal

Unit cell a=4.6273 b=4.6273 c=13.5160 alpha=90.00 beta=90.00 gamma=90.00
Space group I4/mmm (No. 139)
Inequivalent atoms, fractional coordinates:
Ca  0.0000  0.5000  0.2500 [4 per cell]
La  0.0000  0.0000  0.0000 [2 per cell]
W  0.0000  0.0000  0.4169 [4 per cell]

***

Entry 12:
A plane-wave DFT calculation with PBE-GGA was carried out for crystalline CaNp2CuO8 at its relaxed geometry.

Computed properties:
- formation energy (no corrections) (eV/f.u.) = -29.3
- crystal system = orthorhombic

Unit cell a=6.7766 b=7.0737 c=6.9397 alpha=90.00 beta=90.00 gamma=90.00
Space group Cmmm (No. 65)
Inequivalent atoms, fractional coordinates:
Ca  0.0000  0.0000  0.0000 [2 per cell]
Np  0.0000  0.5000  0.2553 [4 per cell]
Cu  0.0000  0.0000  0.5000 [2 per cell]
O  0.0000  0.3158  0.5000 [4 per cell]
O  0.0000  0.3234  0.0000 [4 per cell]
O  0.2157  0.0000  0.2648 [8 per cell]

***

| no. | M_tot (μB per formula unit) | N(E_F) (states/eV per atom) |
| --- | --- | --- |
| 1 | 7.4 | 0.736 |
| 2 | 0.0 | 0.567 |
| 3 | 0.0 | 0.577 |
| 4 | 0.0 | 0.015 |
| 5 | 7.6 | 1.831 |
| 6 | 0.0 | 0.947 |
| 7 | 0.0 | 0.352 |
| 8 | 0.0 | 0.592 |
| 9 | 0.0 | 0.778 |
| 10 | 0.0 | 1.293 |
| 11 | 0.0 | 1.661 |
| 12 | 1.0 | 0.971 |